[1]
# Sr2Li3USe6 PBE optimized geometry
data_Sr2Li3USe6
_cell_length_a 7.328
_cell_length_b 13.214
_cell_length_c 6.840
_cell_angle_alpha 90.00
_cell_angle_beta 108.57
_cell_angle_gamma 90.00
_symmetry_space_group_name_H-M 'C 1 2/m 1'
_symmetry_Int_Tables_number 12
loop_
_symmetry_equiv_pos_as_xyz
'x,y,z'
'-x,-y,-z'
'-x,y,-z'
'x,-y,z'
'x+1/2,y+1/2,z'
'-x+1/2,-y+1/2,-z'
'-x+1/2,y+1/2,-z'
'x+1/2,-y+1/2,z'
loop_
_atom_site_label
_atom_site_type_symbol
_atom_site_fract_x
_atom_site_fract_y
_atom_site_fract_z
Sr1 Sr 0.000 0.172 0.000
Li1 Li 0.000 0.000 0.500
Li2 Li 0.000 0.375 0.500
U1 U 0.000 0.500 0.000
Se1 Se 0.225 0.353 0.258
Se2 Se 0.240 0.500 0.757
# - E_form (uncorrected) (eV/atom) = -1.47

=====

[2]
# SrLi2USe4 PBE optimized geometry
data_SrLi2USe4
_cell_length_a 5.837
_cell_length_b 5.837
_cell_length_c 12.098
_cell_angle_alpha 90.00
_cell_angle_beta 90.00
_cell_angle_gamma 90.00
_symmetry_space_group_name_H-M 'I -4 m 2'
_symmetry_Int_Tables_number 119
_symmetry_space_group_name_Hall 'I -4 -2'
loop_
_atom_site_label
_atom_site_type_symbol
_atom_site_fract_x
_atom_site_fract_y
_atom_site_fract_z
Sr1 Sr 0.000 0.000 0.000
Li1 Li 0.000 0.000 0.500
Li2 Li 0.000 0.500 0.250
U1 U 0.000 0.500 0.750
Se1 Se 0.000 0.000 0.257
Se2 Se 0.000 0.500 0.521
# - E_form (uncorrected) (eV/atom) = -1.36

=====

[3]
# Sr2LiUSe4 PBE optimized geometry
data_Sr2LiUSe4
_cell_length_a 7.374
_cell_length_b 4.273
_cell_length_c 7.402
_cell_angle_alpha 90.00
_cell_angle_beta 109.09
_cell_angle_gamma 90.00
_symmetry_space_group_name_H-M 'P 1 2/m 1'
_symmetry_Int_Tables_number 10
loop_
_symmetry_equiv_pos_as_xyz
'x,y,z'
'-x,-y,-z'
'-x,y,-z'
'x,-y,z'
loop_
_atom_site_label
_atom_site_type_symbol
_atom_site_fract_x
_atom_site_fract_y
_atom_site_fract_z
Sr1 Sr 0.000 0.000 0.000
Sr2 Sr 0.500 0.500 0.000
Li1 Li 0.000 0.500 0.500
U1 U 0.500 0.000 0.500
Se1 Se 0.247 0.000 0.728
Se2 Se 0.257 0.500 0.270
# - E_form (uncorrected) (eV/atom) = -1.55

=====

[4]
# Sr2LiUSe6 PBE optimized geometry
data_Sr2LiUSe6
_cell_length_a 7.269
_cell_length_b 7.808
_cell_length_c 11.720
_cell_angle_alpha 90.00
_cell_angle_beta 123.25
_cell_angle_gamma 90.00
_symmetry_space_group_name_H-M 'P 1 21/c 1'
_symmetry_Int_Tables_number 14
loop_
_symmetry_equiv_pos_as_xyz
'x,y,z'
'-x,-y,-z'
'-x,y+1/2,-z+1/2'
'x,-y+1/2,z+1/2'
loop_
_atom_site_label
_atom_site_type_symbol
_atom_site_fract_x
_atom_site_fract_y
_atom_site_fract_z
Sr1 Sr 0.203 0.094 0.237
Li1 Li 0.000 0.000 0.500
U1 U 0.500 0.000 0.000
Se1 Se 0.146 0.188 0.946
Se2 Se 0.268 0.706 0.944
Se3 Se 0.362 0.022 0.739
# - E_form (uncorrected) (eV/atom) = -1.33

=====

[5]
# SrLiYSe3 PBE optimized geometry
data_SrLiYSe3
_cell_length_a 8.660
_cell_length_b 4.167
_cell_length_c 9.051
_cell_angle_alpha 90.00
_cell_angle_beta 103.54
_cell_angle_gamma 90.00
_symmetry_space_group_name_H-M 'P 1 21/m 1'
_symmetry_Int_Tables_number 11
loop_
_symmetry_equiv_pos_as_xyz
'x,y,z'
'-x,-y,-z'
'-x,y+1/2,-z'
'x,-y+1/2,z'
loop_
_atom_site_label
_atom_site_type_symbol
_atom_site_fract_x
_atom_site_fract_y
_atom_site_fract_z
Sr1 Sr 0.188 0.250 0.237
Li1 Li 0.085 0.250 0.587
Y1 Y 0.330 0.750 0.836
Se1 Se 0.109 0.250 0.869
Se2 Se 0.216 0.750 0.513
Se3 Se 0.439 0.750 0.166
# - E_form (uncorrected) (eV/atom) = -1.79

=====

[6]
# SrLiY2Se4 PBE optimized geometry
data_SrLiY2Se4
_cell_length_a 4.141
_cell_length_b 13.712
_cell_length_c 14.310
_cell_angle_alpha 90.00
_cell_angle_beta 90.00
_cell_angle_gamma 90.00
_symmetry_space_group_name_H-M 'C m c m'
_symmetry_Int_Tables_number 63
_symmetry_space_group_name_Hall '-C 2c 2'
loop_
_atom_site_label
_atom_site_type_symbol
_atom_site_fract_x
_atom_site_fract_y
_atom_site_fract_z
Sr1 Sr 0.000 0.119 0.250
Li1 Li 0.000 0.152 0.750
Y1 Y 0.000 0.372 0.058
Se1 Se 0.000 0.000 0.000
Se2 Se 0.000 0.270 0.618
Se3 Se 0.000 0.448 0.250
# - E_form (uncorrected) (eV/atom) = -1.79

=====

[7]
# Sr2LiYSe4 PBE optimized geometry
data_Sr2LiYSe4
_cell_length_a 7.344
_cell_length_b 4.278
_cell_length_c 7.344
_cell_angle_alpha 90.00
_cell_angle_beta 108.79
_cell_angle_gamma 90.00
_symmetry_space_group_name_H-M 'P 1 2/m 1'
_symmetry_Int_Tables_number 10
loop_
_symmetry_equiv_pos_as_xyz
'x,y,z'
'-x,-y,-z'
'-x,y,-z'
'x,-y,z'
loop_
_atom_site_label
_atom_site_type_symbol
_atom_site_fract_x
_atom_site_fract_y
_atom_site_fract_z
Sr1 Sr 0.000 0.000 0.000
Sr2 Sr 0.000 0.500 0.500
Li1 Li 0.500 0.000 0.500
Y1 Y 0.500 0.500 0.000
Se1 Se 0.271 0.500 0.251
Se2 Se 0.274 0.000 0.758
# - E_form (uncorrected) (eV/atom) = -1.83

=====

[8]
# SrLiZn2Se PBE optimized geometry
data_SrLiZn2Se
_cell_length_a 6.004
_cell_length_b 6.004
_cell_length_c 5.696
_cell_angle_alpha 90.00
_cell_angle_beta 90.00
_cell_angle_gamma 90.00
_symmetry_space_group_name_H-M 'P 4/m m m'
_symmetry_Int_Tables_number 123
_symmetry_space_group_name_Hall '-P 4 2'
loop_
_atom_site_label
_atom_site_type_symbol
_atom_site_fract_x
_atom_site_fract_y
_atom_site_fract_z
Sr1 Sr 0.000 0.000 0.000
Li1 Li 0.500 0.500 0.500
Zn1 Zn 0.000 0.500 0.000
Se1 Se 0.000 0.000 0.500
# - E_form (uncorrected) (eV/atom) = 0.12

=====

[9]
# LiTaSe3 PBE optimized geometry
data_LiTaSe3
_cell_length_a 6.6275
_cell_length_b 6.6275
_cell_length_c 17.5361
_cell_angle_alpha 90.00
_cell_angle_beta 90.00
_cell_angle_gamma 120.00
_symmetry_space_group_name_H-M 'R 3 c'
_symmetry_Int_Tables_number 161
_symmetry_space_group_name_Hall 'R 3 -2"c'
loop_
_atom_site_label
_atom_site_type_symbol
_atom_site_fract_x
_atom_site_fract_y
_atom_site_fract_z
Li1 Li 0.0000 0.0000 0.0000
Ta1 Ta 0.0000 0.0000 0.1920
Se1 Se 0.0250 0.3341 0.2659
# - E_form (uncorrected) (eV/atom) = -0.76
# - ΔE to the lowest computed polymorph (meV/atom) = 110

=====

[10]
# LiTa2Se4 PBE optimized geometry
data_LiTa2Se4
_cell_length_a 3.730
_cell_length_b 12.203
_cell_length_c 13.023
_cell_angle_alpha 90.00
_cell_angle_beta 90.00
_cell_angle_gamma 90.00
_symmetry_space_group_name_H-M 'C m c m'
_symmetry_Int_Tables_number 63
_symmetry_space_group_name_Hall '-C 2c 2'
loop_
_atom_site_label
_atom_site_type_symbol
_atom_site_fract_x
_atom_site_fract_y
_atom_site_fract_z
Li1 Li 0.000 0.120 0.250
Ta1 Ta 0.000 0.379 0.065
Se1 Se 0.000 0.000 0.000
Se2 Se 0.000 0.272 0.613
Se3 Se 0.000 0.453 0.250
# - E_form (uncorrected) (eV/atom) = -0.63
# - ΔE to the lowest computed polymorph (meV/atom) = 96

=====

[11]
# LiTaSe3 PBE optimized geometry
data_LiTaSe3
_cell_length_a 6.455
_cell_length_b 11.360
_cell_length_c 6.702
_cell_angle_alpha 90.00
_cell_angle_beta 108.83
_cell_angle_gamma 90.00
_symmetry_space_group_name_H-M 'C 1 2/m 1'
_symmetry_Int_Tables_number 12
loop_
_symmetry_equiv_pos_as_xyz
'x,y,z'
'-x,-y,-z'
'-x,y,-z'
'x,-y,z'
'x+1/2,y+1/2,z'
'-x+1/2,-y+1/2,-z'
'-x+1/2,y+1/2,-z'
'x+1/2,-y+1/2,z'
loop_
_atom_site_label
_atom_site_type_symbol
_atom_site_fract_x
_atom_site_fract_y
_atom_site_fract_z
Li1 Li 0.000 0.160 0.000
Ta1 Ta 0.000 0.333 0.500
Se1 Se 0.227 0.500 0.733
Se2 Se 0.247 0.324 0.263
# - E_form (uncorrected) (eV/atom) = -0.82
# - ΔE to the lowest computed polymorph (meV/atom) = 53

=====

[12]
# Li2TaSe PBE optimized geometry
data_Li2TaSe
_cell_length_a 9.221
_cell_length_b 3.129
_cell_length_c 5.409
_cell_angle_alpha 90.00
_cell_angle_beta 114.64
_cell_angle_gamma 90.00
_symmetry_space_group_name_H-M 'C 1 m 1'
_symmetry_Int_Tables_number 8
loop_
_symmetry_equiv_pos_as_xyz
'x,y,z'
'x,-y,z'
'x+1/2,y+1/2,z'
'x+1/2,-y+1/2,z'
loop_
_atom_site_label
_atom_site_type_symbol
_atom_site_fract_x
_atom_site_fract_y
_atom_site_fract_z
Li1 Li 0.000 0.000 0.000
Li2 Li 0.217 0.000 0.807
Ta1 Ta 0.309 0.500 0.385
Se1 Se 0.033 0.500 0.394
# - E_form (uncorrected) (eV/atom) = -0.10

=====

[13]
# LiTaSe3 PBE optimized geometry
data_LiTaSe3
_cell_length_a 6.373
_cell_length_b 11.825
_cell_length_c 5.963
_cell_angle_alpha 90.00
_cell_angle_beta 90.00
_cell_angle_gamma 90.00
_symmetry_space_group_name_H-M 'P n m a'
_symmetry_Int_Tables_number 62
loop_
_symmetry_equiv_pos_as_xyz
'x,y,z'
'-x,-y,-z'
'-x+1/2,-y,z+1/2'
'x+1/2,y,-z+1/2'
'x+1/2,-y+1/2,-z+1/2'
'-x+1/2,y+1/2,z+1/2'
'-x,y+1/2,-z'
'x,-y+1/2,z'
loop_
_atom_site_label
_atom_site_type_symbol
_atom_site_fract_x
_atom_site_fract_y
_atom_site_fract_z
Li1 Li 0.000 0.000 0.000
Ta1 Ta 0.154 0.250 0.415
Se1 Se 0.060 0.750 0.185
Se2 Se 0.166 0.604 0.668
# - E_form (uncorrected) (eV/atom) = -0.72
# - ΔE to the lowest computed polymorph (meV/atom) = 149

=====

[14]
# LiTaSe2 PBE optimized geometry
data_LiTaSe2
_cell_length_a 7.129
_cell_length_b 7.118
_cell_length_c 3.238
_cell_angle_alpha 90.00
_cell_angle_beta 113.56
_cell_angle_gamma 90.00
_symmetry_space_group_name_H-M 'C 1 2/m 1'
_symmetry_Int_Tables_number 12
loop_
_symmetry_equiv_pos_as_xyz
'x,y,z'
'-x,-y,-z'
'-x,y,-z'
'x,-y,z'
'x+1/2,y+1/2,z'
'-x+1/2,-y+1/2,-z'
'-x+1/2,y+1/2,-z'
'x+1/2,-y+1/2,z'
loop_
_atom_site_label
_atom_site_type_symbol
_atom_site_fract_x
_atom_site_fract_y
_atom_site_fract_z
Li1 Li 0.000 0.000 0.000
Ta1 Ta 0.000 0.500 0.000
Se1 Se 0.250 0.250 0.500
# - E_form (uncorrected) (eV/atom) = -0.35

=====

[15]
# LiTaSe2 PBE optimized geometry
data_LiTaSe2
_cell_length_a 3.700
_cell_length_b 3.700
_cell_length_c 10.404
_cell_angle_alpha 90.00
_cell_angle_beta 90.00
_cell_angle_gamma 90.00
_symmetry_space_group_name_H-M 'I -4 m 2'
_symmetry_Int_Tables_number 119
_symmetry_space_group_name_Hall 'I -4 -2'
loop_
_atom_site_label
_atom_site_type_symbol
_atom_site_fract_x
_atom_site_fract_y
_atom_site_fract_z
Li1 Li 0.000 0.000 0.000
Ta1 Ta 0.000 0.500 0.250
Se1 Se 0.000 0.000 0.500
Se2 Se 0.000 0.500 0.750
# - E_form (uncorrected) (eV/atom) = -0.16

=====

[16]
# LiTaSe2 PBE optimized geometry
data_LiTaSe2
_cell_length_a 5.937
_cell_length_b 5.937
_cell_length_c 11.582
_cell_angle_alpha 90.00
_cell_angle_beta 90.00
_cell_angle_gamma 90.00
_symmetry_space_group_name_H-M 'I -4 2 d'
_symmetry_Int_Tables_number 122
_symmetry_space_group_name_Hall 'I -4 2bw'
loop_
_atom_site_label
_atom_site_type_symbol
_atom_site_fract_x
_atom_site_fract_y
_atom_site_fract_z
Li1 Li 0.000 0.000 0.000
Ta1 Ta 0.000 0.000 0.500
Se1 Se 0.241 0.250 0.625
# - E_form (uncorrected) (eV/atom) = -0.48

=====

[17]
# LiTaSe3 PBE optimized geometry
data_LiTaSe3
_cell_length_a 7.207
_cell_length_b 6.885
_cell_length_c 13.212
_cell_angle_alpha 90.00
_cell_angle_beta 120.57
_cell_angle_gamma 90.00
_symmetry_space_group_name_H-M 'P 1 21/c 1'
_symmetry_Int_Tables_number 14
loop_
_symmetry_equiv_pos_as_xyz
'x,y,z'
'-x,-y,-z'
'-x,y+1/2,-z+1/2'
'x,-y+1/2,z+1/2'
loop_
_atom_site_label
_atom_site_type_symbol
_atom_site_fract_x
_atom_site_fract_y
_atom_site_fract_z
Li1 Li 0.029 0.030 0.141
Ta1 Ta 0.406 0.247 0.997
Se1 Se 0.080 0.239 0.499
Se2 Se 0.318 0.522 0.344
Se3 Se 0.381 0.014 0.346
# - E_form (uncorrected) (eV/atom) = -0.82
# - ΔE to the lowest computed polymorph (meV/atom) = 54

=====

[18]
# Li2TaSe PBE optimized geometry
data_Li2TaSe
_cell_length_a 3.504
_cell_length_b 4.992
_cell_length_c 8.726
_cell_angle_alpha 90.00
_cell_angle_beta 90.00
_cell_angle_gamma 90.00
_symmetry_space_group_name_H-M 'C m m 2'
_symmetry_Int_Tables_number 35
loop_
_symmetry_equiv_pos_as_xyz
'x,y,z'
'-x,-y,z'
'-x,y,z'
'x,-y,z'
'x+1/2,y+1/2,z'
'-x+1/2,-y+1/2,z'
'-x+1/2,y+1/2,z'
'x+1/2,-y+1/2,z'
loop_
_atom_site_label
_atom_site_type_symbol
_atom_site_fract_x
_atom_site_fract_y
_atom_site_fract_z
Li1 Li 0.000 0.000 0.000
Li2 Li 0.000 0.500 0.296
Ta1 Ta 0.000 0.000 0.562
Se1 Se 0.000 0.500 0.778
# - E_form (uncorrected) (eV/atom) = -0.01

=====

[19]
# LiTaSe3 PBE optimized geometry
data_LiTaSe3
_cell_length_a 6.856
_cell_length_b 9.565
_cell_length_c 6.540
_cell_angle_alpha 90.00
_cell_angle_beta 90.00
_cell_angle_gamma 90.00
_symmetry_space_group_name_H-M 'P n m a'
_symmetry_Int_Tables_number 62
loop_
_symmetry_equiv_pos_as_xyz
'x,y,z'
'-x,-y,-z'
'-x+1/2,-y,z+1/2'
'x+1/2,y,-z+1/2'
'x+1/2,-y+1/2,-z+1/2'
'-x+1/2,y+1/2,z+1/2'
'-x,y+1/2,-z'
'x,-y+1/2,z'
loop_
_atom_site_label
_atom_site_type_symbol
_atom_site_fract_x
_atom_site_fract_y
_atom_site_fract_z
Li1 Li 0.113 0.250 0.040
Ta1 Ta 0.000 0.000 0.500
Se1 Se 0.032 0.750 0.355
Se2 Se 0.176 0.571 0.831
# - E_form (uncorrected) (eV/atom) = -0.77
# - ΔE to the lowest computed polymorph (meV/atom) = 103

=====

[20]
# LiTaSe2 PBE optimized geometry
data_LiTaSe2
_cell_length_a 3.5332
_cell_length_b 3.5332
_cell_length_c 6.8292
_cell_angle_alpha 90.00
_cell_angle_beta 90.00
_cell_angle_gamma 120.00
_symmetry_space_group_name_H-M 'P -3 m 1'
_symmetry_Int_Tables_number 164
_symmetry_space_group_name_Hall '-P 3 2"'
loop_
_atom_site_label
_atom_site_type_symbol
_atom_site_fract_x
_atom_site_fract_y
_atom_site_fract_z
Li1 Li 0.0000 0.0000 0.0000
Ta1 Ta 0.0000 0.0000 0.5000
Se1 Se 0.3333 0.6667 0.7459
# - E_form (uncorrected) (eV/atom) = -0.86